Model P:
Density functional theory data (PBE) for a geometry-optimized Sc2InO structure.

The structure belongs to space group P2_1/m (No. 11); the cell edges are 4.222, 4.295 and 8.145 Å and the angles 90.00°, 104.98° and 90.00°. Symmetry generates all atoms from Sc at (0.085, 0.250, 0.169), Sc at (0.248, 0.750, 0.497), In at (0.421, 0.250, 0.844) and O at (0.218, 0.250, 0.435).

=====

Model Q:
Density functional theory data (PBE) for a geometry-optimized Sc2InO structure.

The structure belongs to space group R-3m (No. 166, hexagonal axes); the cell edges are 3.5422, 3.5422 and 25.2129 Å and the angles 90.00°, 90.00° and 120.00°. Symmetry generates all atoms from Sc at (0.0000, 0.0000, 0.0742), In at (0.0000, 0.0000, 0.5000) and O at (0.0000, 0.0000, 0.0000).

=====

Model R:
Density functional theory data (PBE) for a geometry-optimized Sc2InO structure.

The structure belongs to space group Fm-3m (No. 225); the cell edges are 6.724, 6.724 and 6.724 Å and the angles 90.00°, 90.00° and 90.00°. Symmetry generates all atoms from Sc at (0.250, 0.250, 0.250), In at (0.000, 0.000, 0.000) and O at (0.000, 0.000, 0.500).

=====

Model S:
Density functional theory data (PBE) for a geometry-optimized Sc2InO structure.

The structure belongs to space group R-3m (No. 166, hexagonal axes); the cell edges are 3.2684, 3.2684 and 24.9307 Å and the angles 90.00°, 90.00° and 120.00°. Symmetry generates all atoms from Sc at (0.0000, 0.0000, 0.1188), In at (0.0000, 0.0000, 0.0000) and O at (0.0000, 0.0000, 0.5000).

=====

Last place for stability: model R

=====

Model P:
Density functional theory data (PBE) for a geometry-optimized ScIn2O structure.

The structure belongs to space group Fm-3m (No. 225); the cell edges are 6.873, 6.873 and 6.873 Å and the angles 90.00°, 90.00° and 90.00°. Symmetry generates all atoms from Sc at (0.000, 0.000, 0.000), In at (0.250, 0.250, 0.250) and O at (0.000, 0.000, 0.500).

=====

Model Q:
Density functional theory data (PBE) for a geometry-optimized ScIn2O structure.

The structure belongs to space group I-42d (No. 122); the cell edges are 10.021, 10.021 and 3.935 Å and the angles 90.00°, 90.00° and 90.00°. Symmetry generates all atoms from Sc at (0.000, 0.000, 0.000), In at (0.128, 0.750, 0.625) and O at (0.000, 0.000, 0.500).

=====

Last place for stability: model P

=====

Model P:
Density functional theory data (PBE) for a geometry-optimized InSe3O structure.

The structure belongs to space group Pm-3m (No. 221); the cell edges are 4.612, 4.612 and 4.612 Å and the angles 90.00°, 90.00° and 90.00°. Symmetry generates all atoms from In at (0.000, 0.000, 0.000), Se at (0.000, 0.500, 0.500) and O at (0.500, 0.500, 0.500).

=====

Model Q:
Density functional theory data (PBE) for a geometry-optimized InSe3O structure.

The structure belongs to space group Pm-3m (No. 221); the cell edges are 5.222, 5.222 and 5.222 Å and the angles 90.00°, 90.00° and 90.00°. Symmetry generates all atoms from In at (0.000, 0.000, 0.000), Se at (0.000, 0.000, 0.500) and O at (0.500, 0.500, 0.500).

=====

Last place for stability: model Q